# 1
# CdMo2N PBE-GGA relaxed
# relative energy among the computed polymorphs: 0.344 eV/atom
# symmetry: No. 122
# VASP energy: -113.2 eV for the cell shown
# uncorrected formation energy: 2.6 eV per formula unit
data_CdMo2N
_chemical_formula_sum 'Cd4 Mo8 N4'
_space_group_name_H-M_alt 'P 1'
_space_group_IT_number 1
_space_group_name_Hall 'P 1'
_cell_length_a 5.286
_cell_length_b 5.286
_cell_length_c 10.758
_cell_angle_alpha 90.00
_cell_angle_beta 90.00
_cell_angle_gamma 90.00
loop_
_atom_site_label
_atom_site_type_symbol
_atom_site_fract_x
_atom_site_fract_y
_atom_site_fract_z
Cd1 Cd 0.000 0.000 0.000
Cd2 Cd 0.000 0.500 0.250
Cd3 Cd 0.500 0.000 0.750
Cd4 Cd 0.500 0.500 0.500
Mo1 Mo 0.096 0.250 0.625
Mo2 Mo 0.250 0.596 0.875
Mo3 Mo 0.250 0.904 0.375
Mo4 Mo 0.404 0.250 0.125
Mo5 Mo 0.596 0.750 0.125
Mo6 Mo 0.750 0.096 0.375
Mo7 Mo 0.750 0.404 0.875
Mo8 Mo 0.904 0.750 0.625
N1 N 0.000 0.000 0.500
N2 N 0.000 0.500 0.750
N3 N 0.500 0.000 0.250
N4 N 0.500 0.500 0.000



# 2
# PmDyCo PBE-GGA relaxed
# relative energy among the computed polymorphs: 0.095 eV/atom
# DFT formation energy: -0.03 eV per atom
# symmetry: No. 156
# VASP energy: -16.5 eV for the cell shown
data_PmDyCo
_chemical_formula_sum 'Pm1 Dy1 Co1'
_space_group_name_H-M_alt 'P 1'
_space_group_IT_number 1
_space_group_name_Hall 'P 1'
_cell_length_a 3.932
_cell_length_b 3.932
_cell_length_c 6.213
_cell_angle_alpha 90.00
_cell_angle_beta 90.00
_cell_angle_gamma 120.00
loop_
_atom_site_label
_atom_site_type_symbol
_atom_site_fract_x
_atom_site_fract_y
_atom_site_fract_z
Pm1 Pm 0.000 0.000 0.000
Dy1 Dy 0.333 0.667 0.537
Co1 Co 0.667 0.333 0.763